(1)
# Tl2AgHg2

Crystalline Tl2AgHg2 at its relaxed geometry (PBE, Alexandria via LeMat-Bulk).

Calculated values
Crystal system: tetragonal
DFT formation energy (eV/atom): 0.1357
Space-group type: P4/mbm (127)

Lattice parameters (Å, degrees): 7.7470 7.7470 4.7720 90.00 90.00 90.00
Fractional coordinates of all 10 atoms:
Tl 0.3457 0.8457 0.0000
Tl 0.8457 0.6543 0.0000
Tl 0.6543 0.1543 0.0000
Tl 0.1543 0.3457 0.0000
Hg 0.1571 0.6571 0.5000
Hg 0.6571 0.8429 0.5000
Hg 0.8429 0.3429 0.5000
Hg 0.3429 0.1571 0.5000
Ag 0.0000 0.0000 0.0000
Ag 0.5000 0.5000 0.0000

=====

(2)
# Tc2IrRu

Crystalline Tc2IrRu at its relaxed geometry (PBE, Alexandria via LeMat-Bulk).

Calculated values
Crystal system: monoclinic
DFT formation energy (eV/atom): -0.0489
Space-group type: Cm (8)

Lattice parameters (Å, degrees): 4.7207 4.7207 4.7446 80.44 80.44 33.54
Fractional coordinates of all 4 atoms:
Ir 0.4991 0.4991 0.5063
Ru 0.2514 0.2514 0.2383
Tc 0.9980 0.9980 0.0069
Tc 0.7514 0.7514 0.7485

=====

(3)
# TcAs2Pt

Crystalline TcAs2Pt at its relaxed geometry (PBE, Alexandria via LeMat-Bulk).

Calculated values
Crystal system: orthorhombic
DFT formation energy (eV/atom): -0.0529
Space-group type: Pmmm (47)

Lattice parameters (Å, degrees): 2.9771 3.0746 7.2839 89.96 90.00 90.00
Fractional coordinates of all 4 atoms:
As 0.0000 0.2495 0.9621
As 0.0000 0.2505 0.5379
Tc 0.5000 0.7500 0.7500
Pt 0.5000 0.2500 0.2500

=====

(4)
# Sr3ZrFe

Crystalline Sr3ZrFe at its relaxed geometry (PBE, Alexandria via LeMat-Bulk).

Calculated values
Crystal system: cubic
DFT formation energy (eV/atom): 1.4141
Space-group type: Pm-3m (221)

Lattice parameters (Å, degrees): 6.0037 6.0037 6.0037 90.00 90.00 90.00
Fractional coordinates of all 5 atoms:
Sr 0.0000 0.5000 0.0000
Sr 0.0000 0.0000 0.5000
Sr 0.5000 0.0000 0.0000
Fe 0.5000 0.5000 0.5000
Zr 0.0000 0.0000 0.0000

=====

(5)
# Ba3Na2Ca

Crystalline Ba3Na2Ca at its relaxed geometry (PBE, Alexandria via LeMat-Bulk).

Calculated values
Crystal system: tetragonal
DFT formation energy (eV/atom): 0.0227
Space-group type: P4/mmm (123)

Lattice parameters (Å, degrees): 4.6562 4.6562 14.5151 90.00 90.00 90.00
Fractional coordinates of all 6 atoms:
Ba 0.0000 0.0000 0.0000
Ba 0.0000 0.0000 0.6720
Ba 0.0000 0.0000 0.3280
Na 0.5000 0.5000 0.8328
Na 0.5000 0.5000 0.1672
Ca 0.5000 0.5000 0.5000

=====

(6)
# Re4GeP2

Crystalline Re4GeP2 at its relaxed geometry (PBE, Alexandria via LeMat-Bulk).

Calculated values
Crystal system: tetragonal
DFT formation energy (eV/atom): 1.3965
Space-group type: I4/mmm (139)

Lattice parameters (Å, degrees): 4.4569 4.4569 6.8796 71.10 71.10 90.00
Fractional coordinates of all 7 atoms:
Re 0.7975 0.7975 0.4050
Re 0.2025 0.2025 0.5950
Re 0.0000 0.5000 0.0000
Re 0.5000 0.0000 0.0000
Ge 0.0000 0.0000 0.0000
P 0.6147 0.6147 0.7705
P 0.3853 0.3853 0.2295

=====

> What is the DFT formation energy in the fourth record?

1.4141 eV/atom

=====

> Among the records above, which one has the highest DFT formation energy?

Sr3ZrFe